Compound: MgSiW
Source: the Alexandria database
Functional: GGA-PBE
Structure: relaxed

SG ... Cm
Calculated total energy ... -6.610 eV/atom
Mass density ... 7.86 g cm⁻³
Size of the total moment ... 0.000 μB/atom
Energy relative to the elements, uncorrected ... 0.047 eV per atom

abc: 7.285 7.285 2.804
angles: 92.59 92.59 137.43
Fractional positions:
Mg 0.179 0.821 0.000
Mg 0.821 0.179 0.000
Si 0.372 0.654 0.481
Si 0.654 0.372 0.481
W 0.288 0.288 0.875
W 0.818 0.818 0.422


Compound: Tl4TeI
Source: the Alexandria database
Functional: GGA-PBE
Structure: relaxed

Offset from the most stable computed form ... 0.0 meV/atom
SG ... P4/mmm
Calculated total energy ... -2.648 eV/atom
Mass density ... 7.23 g cm⁻³
Size of the total moment ... 0.000 μB/atom
Energy relative to the elements, uncorrected ... -0.289 eV per atom

abc: 5.021 5.021 9.770
angles: 90.00 90.00 90.00
Fractional positions:
Tl 0.000 0.500 0.230
Tl 0.000 0.500 0.770
Tl 0.500 0.000 0.230
Tl 0.500 0.000 0.770
Te 0.000 0.000 0.000
I 0.000 0.000 0.500


Compound: La2AgI2
Source: the Alexandria database
Functional: GGA-PBE
Structure: relaxed

Offset from the most stable computed form ... 200.9 meV/atom
SG ... P4/mbm
Calculated total energy ... -3.829 eV/atom
Mass density ... 6.54 g cm⁻³
Size of the total moment ... 0.000 μB/atom
Energy relative to the elements, uncorrected ... -0.667 eV per atom

abc: 8.676 8.676 4.311
angles: 90.00 90.00 90.00
Fractional positions:
La 0.157 0.343 0.000
La 0.343 0.843 0.000
La 0.657 0.157 0.000
La 0.843 0.657 0.000
Ag 0.000 0.000 0.000
Ag 0.500 0.500 0.000
I 0.142 0.642 0.500
I 0.358 0.142 0.500
I 0.642 0.858 0.500
I 0.858 0.358 0.500